NbRe3Sn after structural relaxation. Source: Alexandria, functional GGA-PBE.

a b c (Å): 4.7483 4.7483 4.7483
angles (deg): 90.00 90.00 90.00
Space group Pm-3m (No. 221)
Symmetry-distinct sites (fractional):
Nb  0.0000  0.0000  0.0000
Re  0.0000  0.5000  0.5000
Sn  0.5000  0.5000  0.5000

Size of the total moment, μB/cell: 0.00
Fermi-level density of states, states/eV/f.u.: 5.9
Energy of formation, eV per atom: 2.56
Volume, Å³/atom: 21.411